[1]
Entry from Alexandria via LeMat-Bulk: a geometry-optimized YErTm2 structure (PBE-GGA).

a = 3.5158 Å, b = 3.5158 Å, c = 34.3650 Å
α = 90.00°, β = 90.00°, γ = 120.00°
Last column: nearest neighbours and their distance in Å.
Space group R-3m (No. 166, hexagonal axes)
Symmetry-distinct sites (fractional):
Y: 0.0000 0.0000 0.0000 (multiplicity 3)  6 Y 3.52, 6 Tm 3.53
Er: 0.0000 0.0000 0.5000 (multiplicity 3)  6 Tm 3.49, 6 Er 3.52
Tm: 0.0000 0.0000 0.2493 (multiplicity 6)  3 Er 3.49, 6 Tm 3.52, 3 Y 3.53

## Properties
The raw total energy comes out at -0.36477 Ry/atom. As for the magnetic moment: 0.0 Bohr magnetons per cell.


[2]
Entry from Alexandria via LeMat-Bulk: a geometry-optimized Y8Er2Tm3 structure (PBE-GGA).

a = 20.1260 Å, b = 7.5898 Å, c = 5.6104 Å
α = 90.00°, β = 90.02°, γ = 90.00°
Last column: nearest neighbours and their distance in Å.
Space group C2/m (No. 12)
Symmetry-distinct sites (fractional):
Y: 0.1072 0.2118 0.0002 (multiplicity 8)  1 Tm 3.07, 1 Y 3.21
Y: 0.1330 0.5000 0.4999 (multiplicity 4)  2 Tm 3.43, 2 Er 3.55-3.56, 4 Y 3.59-3.60
Y: 0.1692 0.0000 0.5005 (multiplicity 4)  2 Er 3.33, 4 Y 3.46-3.47
Er: 0.2413 0.5000 0.9994 (multiplicity 4)  8 Y 3.33-3.56
Tm: 0.0000 0.2175 0.5000 (multiplicity 4)  3 Tm 3.30-3.53, 6 Y 3.43-3.54
Tm: 0.0000 0.5000 0.0000 (multiplicity 2)  4 Y 3.07

## Properties
The raw total energy comes out at -0.40230 Ry/atom. As for the magnetic moment: 0.0 Bohr magnetons per cell.


[3]
Entry from Alexandria via LeMat-Bulk: a geometry-optimized YEr2Tm3 structure (PBE-GGA).

a = 17.1950 Å, b = 7.0218 Å, c = 6.0688 Å
α = 90.00°, β = 90.08°, γ = 90.00°
Last column: nearest neighbours and their distance in Å.
Space group C2/c (No. 15)
Symmetry-distinct sites (fractional):
Y: 0.0000 0.1258 0.2500 (multiplicity 4)  8 Tm 3.50-3.52, 2 Y 3.51, 2 Er 3.51
Er: 0.1669 0.3754 0.4175 (multiplicity 8)  8 Tm 3.50-3.52, 3 Er 3.50, 1 Y 3.51
Tm: 0.0000 0.3758 0.7500 (multiplicity 4)  4 Y 3.50-3.52, 4 Tm 3.50-3.52, 4 Er 3.51
Tm: 0.1674 0.1254 0.9155 (multiplicity 8)  4 Tm 3.49-3.52, 6 Er 3.50-3.52, 2 Y 3.52

## Properties
The raw total energy comes out at -0.35321 Ry/atom. As for the magnetic moment: 0.0 Bohr magnetons per cell.